[1]
Density functional theory data (PBE) for a relaxed MgZr2Os crystal.

Geometry as CIF:
```
data_MgZr2Os
_chemical_formula_sum 'Mg1 Zr2 Os1'
_cell_length_a 5.3892
_cell_length_b 5.3892
_cell_length_c 4.9203
_cell_angle_alpha 62.82
_cell_angle_beta 62.82
_cell_angle_gamma 40.26
_space_group_name_H-M_alt 'P 1'
_space_group_IT_number 1
loop_
_space_group_symop_operation_xyz
'x,y,z'
loop_
_atom_site_label
_atom_site_type_symbol
_atom_site_fract_x
_atom_site_fract_y
_atom_site_fract_z
Mg1 Mg 0.2500 0.2500 0.2500
Os1 Os 0.7500 0.7500 0.7500
Zr1 Zr 0.0384 0.0384 0.9614
Zr2 Zr 0.4616 0.4616 0.5386
```

Calculated formation energy   -0.108 eV/atom
Energy   -30.35 eV/cell

[2]
Density functional theory data (PBE) for a relaxed MgZr2Os crystal.

Geometry as CIF:
```
data_MgZr2Os
_chemical_formula_sum 'Mg2 Zr4 Os2'
_cell_length_a 7.7779
_cell_length_b 7.7779
_cell_length_c 6.2047
_cell_angle_alpha 51.19
_cell_angle_beta 51.19
_cell_angle_gamma 90.00
_space_group_name_H-M_alt 'P 1'
_space_group_IT_number 1
loop_
_space_group_symop_operation_xyz
'x,y,z'
loop_
_atom_site_label
_atom_site_type_symbol
_atom_site_fract_x
_atom_site_fract_y
_atom_site_fract_z
Mg1 Mg 0.5000 0.5000 0.0000
Mg2 Mg 0.2500 0.7500 0.5000
Os1 Os 0.0000 0.0000 0.0000
Os2 Os 0.7500 0.2500 0.5000
Zr1 Zr 0.6734 0.1250 0.2500
Zr2 Zr 0.0766 0.6250 0.2500
Zr3 Zr 0.3750 0.3266 0.7500
Zr4 Zr 0.8750 0.9234 0.7500
```

Calculated formation energy   0.207 eV/atom
Energy   -58.19 eV/cell

[3]
Density functional theory data (PBE) for a relaxed MgZrOs2 crystal.

Geometry as CIF:
```
data_MgZrOs2
_chemical_formula_sum 'Mg1 Zr1 Os2'
_cell_length_a 4.5464
_cell_length_b 4.5464
_cell_length_c 4.5464
_cell_angle_alpha 60.00
_cell_angle_beta 60.00
_cell_angle_gamma 60.00
_space_group_name_H-M_alt 'P 1'
_space_group_IT_number 1
loop_
_space_group_symop_operation_xyz
'x,y,z'
loop_
_atom_site_label
_atom_site_type_symbol
_atom_site_fract_x
_atom_site_fract_y
_atom_site_fract_z
Mg1 Mg 0.5000 0.5000 0.5000
Os1 Os 0.0000 0.0000 0.0000
Os2 Os 0.7500 0.7500 0.7500
Zr1 Zr 0.2500 0.2500 0.2500
```

Calculated formation energy   0.205 eV/atom
Energy   -31.78 eV/cell

[4]
Density functional theory data (PBE) for a relaxed Mg2ZrOs crystal.

Geometry as CIF:
```
data_Mg2ZrOs
_chemical_formula_sum 'Mg2 Zr1 Os1'
_cell_length_a 4.6801
_cell_length_b 4.6801
_cell_length_c 4.6780
_cell_angle_alpha 60.01
_cell_angle_beta 60.01
_cell_angle_gamma 59.98
_space_group_name_H-M_alt 'P 1'
_space_group_IT_number 1
loop_
_space_group_symop_operation_xyz
'x,y,z'
loop_
_atom_site_label
_atom_site_type_symbol
_atom_site_fract_x
_atom_site_fract_y
_atom_site_fract_z
Mg1 Mg 0.0000 0.0000 0.0000
Mg2 Mg 0.7500 0.7500 0.7500
Os1 Os 0.5000 0.5000 0.5000
Zr1 Zr 0.2500 0.2500 0.2500
```

Calculated formation energy   -0.059 eV/atom
Excess energy over the best structure of this formula in the dataset   39.1 meV/atom
Energy   -23.20 eV/cell

[5]
Density functional theory data (PBE) for a relaxed Mg2ZrOs crystal.

Geometry as CIF:
```
data_Mg2ZrOs
_chemical_formula_sum 'Mg2 Zr1 Os1'
_cell_length_a 4.7152
_cell_length_b 2.8463
_cell_length_c 5.6453
_cell_angle_alpha 74.59
_cell_angle_beta 90.00
_cell_angle_gamma 90.00
_space_group_name_H-M_alt 'P 1'
_space_group_IT_number 1
loop_
_space_group_symop_operation_xyz
'x,y,z'
loop_
_atom_site_label
_atom_site_type_symbol
_atom_site_fract_x
_atom_site_fract_y
_atom_site_fract_z
Mg1 Mg 0.0000 0.0645 0.0200
Mg2 Mg 0.0000 0.4355 0.4800
Os1 Os 0.5000 0.2500 0.2500
Zr1 Zr 0.5000 0.7500 0.7500
```

Calculated formation energy   0.082 eV/atom
Excess energy over the best structure of this formula in the dataset   180.0 meV/atom
Energy   -22.64 eV/cell

[6]
Density functional theory data (PBE) for a relaxed MgZr3Os crystal.

Geometry as CIF:
```
data_MgZr3Os
_chemical_formula_sum 'Mg1 Zr3 Os1'
_cell_length_a 5.0910
_cell_length_b 5.0910
_cell_length_c 5.0910
_cell_angle_alpha 90.00
_cell_angle_beta 90.00
_cell_angle_gamma 90.00
_space_group_name_H-M_alt 'P 1'
_space_group_IT_number 1
loop_
_space_group_symop_operation_xyz
'x,y,z'
loop_
_atom_site_label
_atom_site_type_symbol
_atom_site_fract_x
_atom_site_fract_y
_atom_site_fract_z
Mg1 Mg 0.5000 0.5000 0.5000
Os1 Os 0.0000 0.0000 0.0000
Zr1 Zr 0.0000 0.5000 0.0000
Zr2 Zr 0.0000 0.0000 0.5000
Zr3 Zr 0.5000 0.0000 0.0000
```

Calculated formation energy   0.323 eV/atom
Excess energy over the best structure of this formula in the dataset   0.0 meV/atom
Energy   -36.85 eV/cell

[7]
Density functional theory data (PBE) for a relaxed MgZr2Os crystal.

Geometry as CIF:
```
data_MgZr2Os
_chemical_formula_sum 'Mg1 Zr2 Os1'
_cell_length_a 2.9760
_cell_length_b 2.9760
_cell_length_c 9.6043
_cell_angle_alpha 90.00
_cell_angle_beta 90.00
_cell_angle_gamma 111.36
_space_group_name_H-M_alt 'P 1'
_space_group_IT_number 1
loop_
_space_group_symop_operation_xyz
'x,y,z'
loop_
_atom_site_label
_atom_site_type_symbol
_atom_site_fract_x
_atom_site_fract_y
_atom_site_fract_z
Mg1 Mg 0.0000 0.0000 0.5306
Os1 Os 0.5000 0.5000 0.7541
Zr1 Zr 0.0000 0.0000 0.9673
Zr2 Zr 0.5000 0.5000 0.2480
```

Calculated formation energy   0.101 eV/atom
Energy   -29.52 eV/cell

[8]
Density functional theory data (PBE) for a relaxed Mg2ZrOs crystal.

Geometry as CIF:
```
data_Mg2ZrOs
_chemical_formula_sum 'Mg2 Zr1 Os1'
_cell_length_a 2.8205
_cell_length_b 4.5625
_cell_length_c 5.6313
_cell_angle_alpha 90.00
_cell_angle_beta 90.00
_cell_angle_gamma 90.00
_space_group_name_H-M_alt 'P 1'
_space_group_IT_number 1
loop_
_space_group_symop_operation_xyz
'x,y,z'
loop_
_atom_site_label
_atom_site_type_symbol
_atom_site_fract_x
_atom_site_fract_y
_atom_site_fract_z
Mg1 Mg 0.0000 0.0000 0.0182
Mg2 Mg 0.0000 0.0000 0.4818
Os1 Os 0.5000 0.5000 0.2500
Zr1 Zr 0.5000 0.5000 0.7500
```

Calculated formation energy   0.117 eV/atom
Excess energy over the best structure of this formula in the dataset   214.7 meV/atom
Energy   -22.50 eV/cell

[9]
Density functional theory data (PBE) for a relaxed Mg2ZrOs crystal.

Geometry as CIF:
```
data_Mg2ZrOs
_chemical_formula_sum 'Mg2 Zr1 Os1'
_cell_length_a 2.8502
_cell_length_b 2.8502
_cell_length_c 9.8750
_cell_angle_alpha 90.00
_cell_angle_beta 90.00
_cell_angle_gamma 113.01
_space_group_name_H-M_alt 'P 1'
_space_group_IT_number 1
loop_
_space_group_symop_operation_xyz
'x,y,z'
loop_
_atom_site_label
_atom_site_type_symbol
_atom_site_fract_x
_atom_site_fract_y
_atom_site_fract_z
Mg1 Mg 0.0000 0.0000 0.0298
Mg2 Mg 0.0000 0.0000 0.4702
Os1 Os 0.5000 0.5000 0.2500
Zr1 Zr 0.5000 0.5000 0.7500
```

Calculated formation energy   0.240 eV/atom
Excess energy over the best structure of this formula in the dataset   338.2 meV/atom
Energy   -22.01 eV/cell

[10]
Density functional theory data (PBE) for a relaxed Mg2ZrOs crystal.

Geometry as CIF:
```
data_Mg2ZrOs
_chemical_formula_sum 'Mg2 Zr1 Os1'
_cell_length_a 9.6873
_cell_length_b 9.6873
_cell_length_c 9.6873
_cell_angle_alpha 18.99
_cell_angle_beta 18.99
_cell_angle_gamma 18.99
_space_group_name_H-M_alt 'P 1'
_space_group_IT_number 1
loop_
_space_group_symop_operation_xyz
'x,y,z'
loop_
_atom_site_label
_atom_site_type_symbol
_atom_site_fract_x
_atom_site_fract_y
_atom_site_fract_z
Mg1 Mg 0.0018 0.0018 0.0018
Mg2 Mg 0.2379 0.2379 0.2379
Os1 Os 0.4963 0.4963 0.4963
Zr1 Zr 0.7640 0.7640 0.7640
```

Calculated formation energy   0.138 eV/atom
Excess energy over the best structure of this formula in the dataset   236.4 meV/atom
Energy   -22.41 eV/cell

[11]
Density functional theory data (PBE) for a relaxed MgZrOs2 crystal.

Geometry as CIF:
```
data_MgZrOs2
_chemical_formula_sum 'Mg1 Zr1 Os2'
_cell_length_a 5.1955
_cell_length_b 5.1955
_cell_length_c 5.1955
_cell_angle_alpha 136.02
_cell_angle_beta 136.02
_cell_angle_gamma 63.95
_space_group_name_H-M_alt 'P 1'
_space_group_IT_number 1
loop_
_space_group_symop_operation_xyz
'x,y,z'
loop_
_atom_site_label
_atom_site_type_symbol
_atom_site_fract_x
_atom_site_fract_y
_atom_site_fract_z
Mg1 Mg 0.7500 0.2500 0.5000
Os1 Os 0.0000 0.0000 0.0000
Os2 Os 0.2500 0.7500 0.5000
Zr1 Zr 0.5000 0.5000 0.0000
```

Calculated formation energy   0.127 eV/atom
Energy   -32.09 eV/cell

[12]
Density functional theory data (PBE) for a relaxed MgZr2Os crystal.

Geometry as CIF:
```
data_MgZr2Os
_chemical_formula_sum 'Mg1 Zr2 Os1'
_cell_length_a 5.4250
_cell_length_b 5.4250
_cell_length_c 5.4250
_cell_angle_alpha 135.78
_cell_angle_beta 135.78
_cell_angle_gamma 64.33
_space_group_name_H-M_alt 'P 1'
_space_group_IT_number 1
loop_
_space_group_symop_operation_xyz
'x,y,z'
loop_
_atom_site_label
_atom_site_type_symbol
_atom_site_fract_x
_atom_site_fract_y
_atom_site_fract_z
Mg1 Mg 0.5000 0.5000 0.0000
Os1 Os 0.7500 0.2500 0.5000
Zr1 Zr 0.0000 0.0000 0.0000
Zr2 Zr 0.2500 0.7500 0.5000
```

Calculated formation energy   -0.004 eV/atom
Energy   -29.94 eV/cell

Calculated values (g/cm³) of ρ for the records, taken in order: 8.169, 7.587, 12.395, 7.564, 7.504, 6.144, 8.322, 7.563, 7.423, 6.518, 12.344, 8.605.